[1]
Compound: BaHgAsO
Source: OQMD
Functional: GGA-PBE
Structure: relaxed

## Properties
The energy above the most stable polymorph in this dataset is 0.066 eV/atom. The space-group type is P4/nmm, No. 129. The crystal system is tetragonal. Its total DFT energy (no corrections) is -31.23 eV per cell.

Cell: 4.513 4.513 9.989 Å, 90.00 90.00 90.00°
Positions (direct):
O  0.250  0.750  0.000
Hg  0.250  0.750  0.500
Ba  0.250  0.250  0.121
Hg  0.750  0.250  0.500
O  0.750  0.250  0.000
Ba  0.750  0.750  0.879
As  0.750  0.750  0.334
As  0.250  0.250  0.666



[2]
Compound: BaPrHgAs2
Source: OQMD
Functional: GGA-PBE
Structure: relaxed

## Properties
The space-group type is Cmc2_1, No. 36. The crystal system is orthorhombic. Its total DFT energy (no corrections) is -41.50 eV per cell.

Cell: 9.267 9.267 7.637 Å, 90.00 90.00 152.51°
Positions (direct):
As  0.048  0.952  0.527
As  0.952  0.048  0.027
Ba  0.696  0.304  0.593
Hg  0.895  0.105  0.419
As  0.330  0.670  0.574
Pr  0.476  0.524  0.752
Hg  0.105  0.895  0.919
As  0.670  0.330  0.074
Pr  0.524  0.476  0.252
Ba  0.304  0.696  0.093



[3]
Compound: BaSmHgAs2
Source: OQMD
Functional: GGA-PBE
Structure: relaxed

## Properties
The space-group type is Cmc2_1, No. 36. The crystal system is orthorhombic. Its total DFT energy (no corrections) is -41.38 eV per cell.

Cell: 9.318 9.318 7.405 Å, 90.00 90.00 152.94°
Positions (direct):
As  0.955  0.045  0.023
As  0.330  0.670  0.592
Hg  0.892  0.108  0.421
As  0.670  0.330  0.092
Sm  0.523  0.477  0.249
Hg  0.108  0.892  0.921
Sm  0.477  0.523  0.749
Ba  0.305  0.695  0.081
Ba  0.695  0.305  0.581
As  0.045  0.955  0.523



[4]
Compound: BaTmHgAs2
Source: OQMD
Functional: GGA-PBE
Structure: relaxed

## Properties
The space-group type is Cmc2_1, No. 36. The crystal system is orthorhombic. Its total DFT energy (no corrections) is -40.61 eV per cell.

Cell: 9.346 9.346 7.279 Å, 90.00 90.00 153.82°
Positions (direct):
Tm  0.523  0.477  0.244
Ba  0.694  0.306  0.574
Hg  0.111  0.889  0.917
Ba  0.306  0.694  0.074
Tm  0.477  0.523  0.744
As  0.331  0.669  0.612
As  0.040  0.960  0.520
As  0.960  0.040  0.020
Hg  0.889  0.111  0.417
As  0.669  0.331  0.112



[5]
Compound: Ba2HoAs2
Source: OQMD
Functional: GGA-PBE
Structure: relaxed

## Properties
The space-group type is Cmc2_1, No. 36. The crystal system is orthorhombic. Its total DFT energy (no corrections) is -45.95 eV per cell.

Cell: 9.112 9.112 8.615 Å, 90.00 90.00 150.13°
Positions (direct):
As  0.552  0.448  0.912
As  0.170  0.830  0.522
Ho  0.589  0.411  0.587
As  0.448  0.552  0.412
Ba  0.055  0.945  0.220
Ho  0.411  0.589  0.087
Ba  0.206  0.794  0.893
Ba  0.794  0.206  0.393
As  0.830  0.170  0.022
Ba  0.945  0.055  0.720



[6]
Compound: BaHoAs
Source: OQMD
Functional: GGA-PBE
Structure: relaxed

## Properties
The energy above the most stable polymorph in this dataset is 0.900 eV/atom. The space-group type is F-43m, No. 216. The crystal system is cubic. Its total DFT energy (no corrections) is -10.05 eV per cell.

Cell: 5.349 5.349 5.349 Å, 60.00 60.00 60.00°
Positions (direct):
Ba  0.000  0.000  0.000
As  0.250  0.250  0.250
Ho  0.750  0.750  0.750



[7]
Compound: BaHoAs
Source: OQMD
Functional: GGA-PBE
Structure: relaxed

## Properties
The energy above the most stable polymorph in this dataset is 0.000 eV/atom. The space-group type is F-43m, No. 216. The crystal system is cubic. Its total DFT energy (no corrections) is -12.75 eV per cell.

Cell: 5.166 5.166 5.166 Å, 60.00 60.00 60.00°
Positions (direct):
Ba  0.250  0.250  0.250
Ho  0.750  0.750  0.750
As  0.000  0.000  0.000



[8]
Compound: BaHoMgAs2
Source: OQMD
Functional: GGA-PBE
Structure: relaxed

## Properties
The space-group type is Cmc2_1, No. 36. The crystal system is orthorhombic. Its total DFT energy (no corrections) is -44.90 eV per cell.

Cell: 9.306 9.306 6.938 Å, 90.00 90.00 152.69°
Positions (direct):
Mg  0.100  0.900  0.068
Ho  0.473  0.527  0.238
As  0.337  0.663  0.443
Mg  0.900  0.100  0.568
As  0.049  0.951  0.445
As  0.951  0.049  0.945
Ba  0.697  0.303  0.442
Ba  0.303  0.697  0.942
As  0.663  0.337  0.943
Ho  0.527  0.473  0.738



[9]
Compound: BaAsIr
Source: OQMD
Functional: GGA-PBE
Structure: relaxed

## Properties
The space-group type is F-43m, No. 216. The crystal system is cubic. Its total DFT energy (no corrections) is -12.40 eV per cell.

Cell: 5.048 5.048 5.048 Å, 60.00 60.00 60.00°
Positions (direct):
As  0.250  0.250  0.250
Ir  0.750  0.750  0.750
Ba  0.000  0.000  0.000



[10]
Compound: BaAsIr
Source: OQMD
Functional: GGA-PBE
Structure: relaxed

## Properties
The space-group type is F-43m, No. 216. The crystal system is cubic. Its total DFT energy (no corrections) is -15.02 eV per cell.

Cell: 4.834 4.834 4.834 Å, 60.00 60.00 60.00°
Positions (direct):
Ir  0.000  0.000  0.000
As  0.250  0.250  0.250
Ba  0.750  0.750  0.750



[11]
Compound: Ba2AsIr
Source: OQMD
Functional: GGA-PBE
Structure: relaxed

## Properties
The space-group type is F-43m, No. 216. The crystal system is cubic. Its total DFT energy (no corrections) is -17.30 eV per cell.

Cell: 5.309 5.309 5.309 Å, 60.00 60.00 60.00°
Positions (direct):
Ba  0.250  0.250  0.250
Ba  0.000  0.000  0.000
Ir  0.500  0.500  0.500
As  0.750  0.750  0.750



[12]
Compound: BaLiAs2Ir
Source: OQMD
Functional: GGA-PBE
Structure: relaxed

## Properties
The space-group type is I-4m2, No. 119. The crystal system is tetragonal. Its total DFT energy (no corrections) is -25.51 eV per cell.

Cell: 6.647 6.647 6.647 Å, 142.21 142.21 54.51°
Positions (direct):
Ir  0.250  0.750  0.500
As  0.646  0.646  0.000
Li  0.750  0.250  0.500
As  0.354  0.354  0.000
Ba  0.000  0.000  0.000



[13]
Compound: BaNiAs2Ir
Source: OQMD
Functional: GGA-PBE
Structure: relaxed

## Properties
The space-group type is I-4m2, No. 119. The crystal system is tetragonal. Its total DFT energy (no corrections) is -28.68 eV per cell.

Cell: 6.834 6.834 6.834 Å, 144.82 144.82 50.61°
Positions (direct):
Ba  0.000  0.000  0.000
As  0.354  0.354  0.000
As  0.646  0.646  0.000
Ni  0.750  0.250  0.500
Ir  0.250  0.750  0.500



[14]
Compound: Ba2AsIrO6
Source: OQMD
Functional: GGA-PBE
Structure: relaxed

## Properties
The space-group type is I4/m, No. 87. The crystal system is tetragonal. Its total DFT energy (no corrections) is -63.45 eV per cell.

Cell: 5.789 5.789 5.789 Å, 119.98 119.98 90.03°
Positions (direct):
Ba  0.750  0.250  0.500
O  0.746  0.746  0.000
O  0.745  0.253  0.998
Ir  0.500  0.500  0.000
Ba  0.250  0.750  0.500
As  0.000  0.000  0.000
O  0.255  0.747  0.002
O  0.747  0.745  0.492
O  0.254  0.254  0.000
O  0.253  0.255  0.508



[15]
Compound: BaAsIrO
Source: OQMD
Functional: GGA-PBE
Structure: relaxed

## Properties
The energy above the most stable polymorph in this dataset is 0.331 eV/atom. The space-group type is Pmc2_1, No. 26. The crystal system is orthorhombic. Its total DFT energy (no corrections) is -47.87 eV per cell.

Cell: 3.995 5.152 7.998 Å, 90.00 90.00 90.00°
Positions (direct):
As  0.000  0.698  0.762
Ba  0.500  0.189  0.603
Ba  0.500  0.811  0.103
Ir  0.000  0.335  0.956
Ir  0.000  0.665  0.456
As  0.000  0.302  0.262
O  0.500  0.748  0.432
O  0.500  0.252  0.932



[16]
Compound: BaAsIrO
Source: OQMD
Functional: GGA-PBE
Structure: relaxed

## Properties
The energy above the most stable polymorph in this dataset is 0.404 eV/atom. The space-group type is Pmc2_1, No. 26. The crystal system is orthorhombic. Its total DFT energy (no corrections) is -47.28 eV per cell.

Cell: 4.034 7.208 6.272 Å, 90.00 90.00 90.00°
Positions (direct):
Ir  0.500  0.513  0.578
Ba  0.000  0.843  0.940
As  0.000  0.652  0.405
Ir  0.500  0.487  0.078
O  0.500  0.686  0.831
As  0.000  0.348  0.905
O  0.500  0.314  0.331
Ba  0.000  0.157  0.440



[17]
Compound: BaAsIrO
Source: OQMD
Functional: GGA-PBE
Structure: relaxed

## Properties
The energy above the most stable polymorph in this dataset is 0.000 eV/atom. The space-group type is P4/nmm, No. 129. The crystal system is tetragonal. Its total DFT energy (no corrections) is -50.51 eV per cell.

Cell: 4.165 4.165 10.258 Å, 90.00 90.00 90.00°
Positions (direct):
As  0.500  0.000  0.631
Ba  0.500  0.000  0.134
Ba  0.000  0.500  0.866
Ir  0.500  0.500  0.500
O  0.500  0.500  0.000
Ir  0.000  0.000  0.500
As  0.000  0.500  0.369
O  0.000  0.000  0.000



[18]
Compound: BaAsIrO
Source: OQMD
Functional: GGA-PBE
Structure: relaxed

## Properties
The energy above the most stable polymorph in this dataset is 1.622 eV/atom. The space-group type is P4/nmm, No. 129. The crystal system is tetragonal. Its total DFT energy (no corrections) is -37.53 eV per cell.

Cell: 4.444 4.444 7.577 Å, 90.00 90.00 90.00°
Positions (direct):
Ir  0.750  0.750  0.871
Ir  0.250  0.250  0.129
As  0.750  0.750  0.184
O  0.750  0.250  0.000
As  0.250  0.250  0.816
Ba  0.250  0.750  0.500
O  0.250  0.750  0.000
Ba  0.750  0.250  0.500



[19]
Compound: BaAsPIr2
Source: OQMD
Functional: GGA-PBE
Structure: relaxed

## Properties
The space-group type is I4mm, No. 107. The crystal system is tetragonal. Its total DFT energy (no corrections) is -33.42 eV per cell.

Cell: 7.067 7.067 7.067 Å, 146.80 146.80 47.66°
Positions (direct):
Ir  0.756  0.256  0.500
P  0.351  0.351  0.000
As  0.642  0.642  0.000
Ir  0.256  0.756  0.500
Ba  0.995  0.995  0.000



[20]
Compound: Ba2AsIrS6
Source: OQMD
Functional: GGA-PBE
Structure: relaxed

## Properties
The space-group type is Fm-3m, No. 225. The crystal system is cubic. Its total DFT energy (no corrections) is -49.38 eV per cell.

Cell: 6.882 6.882 6.882 Å, 120.00 90.00 120.00°
Positions (direct):
S  0.745  0.000  0.745
S  0.745  0.490  0.745
S  0.255  0.510  0.255
S  0.745  0.000  0.255
Ba  0.250  0.500  0.750
S  0.255  0.000  0.745
S  0.255  0.000  0.255
Ba  0.750  0.500  0.250
Ir  0.500  0.000  0.500
As  0.000  0.000  0.000